KLiMnPCO7 | GGA+U | optimized geometry

Calculated total energy   -166.16 eV for the cell shown

Unit cell a=5.1751 b=6.2328 c=10.4959 alpha=90.00 beta=91.08 gamma=90.00
Sites, in units of the cell vectors:
K: 0.2067 0.0000 0.2323
K: 0.7933 0.5000 0.7677
Li: 0.1798 0.5303 0.0716
Li: 0.8202 0.0303 0.9284
Mn: 0.2268 0.0995 0.6312
Mn: 0.7732 0.5995 0.3688
P: 0.3138 0.6045 0.5589
P: 0.6862 0.1045 0.4411
C: 0.2654 0.1750 0.9035
C: 0.7346 0.6750 0.0965
O: 0.1041 0.1100 0.8104
O: 0.1507 0.2321 0.0069
O: 0.1603 0.6097 0.4339
O: 0.2569 0.4092 0.6478
O: 0.2570 0.7940 0.6516
O: 0.3895 0.1021 0.4676
O: 0.4923 0.6781 0.1128
O: 0.5077 0.1781 0.8872
O: 0.6105 0.6021 0.5324
O: 0.7430 0.2940 0.3484
O: 0.7431 0.9092 0.3522
O: 0.8397 0.1097 0.5661
O: 0.8493 0.7321 0.9931
O: 0.8959 0.6100 0.1896